Record 1
Dy2YTm3Bi6 after structural relaxation, computed with PBE.

Summary:
Total magnetic moment ... 0.0 μB/f.u.
DFT total energy ... -5.19 eV per atom
N(E_F) ... 2.0 states/eV per cell

a = 4.4547 Å, b = 8.9130 Å, c = 9.9611 Å
α = 102.85°, β = 102.92°, γ = 90.00°
With the nearest neighbours (Å) after each atom.
Fractional coordinates of all 12 atoms:
Dy 0.8334 0.6671 0.6668  6 Bi 3.16-3.17
Y 0.5000 0.0000 0.0000  6 Bi 3.17
Tm 0.8334 0.1671 0.6669  6 Bi 3.14
Bi 0.9993 0.2523 0.9985  3 Tm 3.13-3.14, 1 Dy 3.16, 2 Y 3.17
Bi 0.3340 0.4152 0.6681  3 Tm 3.14, 3 Dy 3.16-3.17
Tm 0.5000 0.5000 0.0000  6 Bi 3.13-3.14
Bi 0.3324 0.9187 0.6648  3 Tm 3.14, 2 Dy 3.16, 1 Y 3.17
Tm 0.1666 0.8329 0.3331  6 Bi 3.14
Bi 0.6676 0.0813 0.3352  3 Tm 3.14, 2 Dy 3.16, 1 Y 3.17
Bi 0.6660 0.5848 0.3319  3 Tm 3.14, 3 Dy 3.16-3.17
Dy 0.1666 0.3329 0.3332  6 Bi 3.16-3.17
Bi 0.0007 0.7477 0.0015  3 Tm 3.13-3.14, 1 Dy 3.16, 2 Y 3.17


Record 2
Dy2Y3TmBi6 after structural relaxation, computed with PBE.

Summary:
Total magnetic moment ... 0.0 μB/f.u.
DFT total energy ... -5.56 eV per atom
N(E_F) ... 2.2 states/eV per cell

a = 7.7486 Å, b = 7.7486 Å, c = 7.7428 Å
α = 99.59°, β = 99.59°, γ = 120.01°
With the nearest neighbours (Å) after each atom.
Fractional coordinates of all 12 atoms:
Y 0.1677 0.8323 0.5000  6 Bi 3.16-3.17
Dy 0.6662 0.3338 0.0000  6 Bi 3.16
Tm 0.0000 0.0000 0.0000  6 Bi 3.14
Dy 0.3338 0.6662 0.0000  6 Bi 3.16
Bi 0.0824 0.4140 0.2478  1 Tm 3.14, 2 Dy 3.16, 3 Y 3.16-3.17
Bi 0.4140 0.0824 0.2478  1 Tm 3.14, 2 Dy 3.16, 3 Y 3.16-3.17
Y 0.5000 0.5000 0.5000  6 Bi 3.17-3.18
Bi 0.7518 0.7518 0.2490  1 Tm 3.14, 2 Dy 3.16, 3 Y 3.17-3.18
Bi 0.9176 0.5860 0.7522  1 Tm 3.14, 2 Dy 3.16, 3 Y 3.16-3.17
Y 0.8323 0.1677 0.5000  6 Bi 3.16-3.17
Bi 0.2482 0.2482 0.7510  1 Tm 3.14, 2 Dy 3.16, 3 Y 3.17-3.18
Bi 0.5860 0.9176 0.7522  1 Tm 3.14, 2 Dy 3.16, 3 Y 3.16-3.17


Record 3
DyY3Tm2Bi6 after structural relaxation, computed with PBE.

Summary:
Total magnetic moment ... 0.0 μB/f.u.
DFT total energy ... -5.54 eV per atom
N(E_F) ... 2.2 states/eV per cell

a = 7.7358 Å, b = 7.7358 Å, c = 7.7300 Å
α = 99.59°, β = 99.59°, γ = 120.00°
With the nearest neighbours (Å) after each atom.
Fractional coordinates of all 12 atoms:
Y 0.1657 0.8343 0.5000  6 Bi 3.17
Y 0.5000 0.5000 0.5000  6 Bi 3.16-3.17
Dy 0.0000 0.0000 0.0000  6 Bi 3.15-3.16
Bi 0.7469 0.7469 0.2465  2 Tm 3.14, 1 Dy 3.15, 3 Y 3.16-3.17
Bi 0.4177 0.0825 0.2474  2 Tm 3.14, 1 Dy 3.16, 3 Y 3.17
Bi 0.0825 0.4177 0.2474  2 Tm 3.14, 1 Dy 3.16, 3 Y 3.17
Tm 0.6670 0.3330 0.0000  6 Bi 3.14
Y 0.8343 0.1657 0.5000  6 Bi 3.17
Tm 0.3330 0.6670 0.0000  6 Bi 3.14
Bi 0.5823 0.9175 0.7526  2 Tm 3.14, 1 Dy 3.16, 3 Y 3.17
Bi 0.9175 0.5823 0.7526  2 Tm 3.14, 1 Dy 3.16, 3 Y 3.17
Bi 0.2531 0.2531 0.7535  2 Tm 3.14, 1 Dy 3.15, 3 Y 3.16-3.17


Record 4
DyUBi2 after structural relaxation, computed with PBE.

Summary:
Total magnetic moment ... 2.8 μB/f.u.
DFT total energy ... -6.26 eV per atom
N(E_F) ... 3.8 states/eV per cell

a = 4.4290 Å, b = 4.4290 Å, c = 7.9253 Å
α = 73.77°, β = 73.77°, γ = 60.00°
With the nearest neighbours (Å) after each atom.
Fractional coordinates of all 4 atoms:
U 0.5000 0.5000 0.5000  6 Bi 3.19
Bi 0.2512 0.2512 0.2465  3 Dy 3.16, 3 U 3.19
Dy 0.0000 0.0000 0.0000  6 Bi 3.16
Bi 0.7488 0.7488 0.7535  3 Dy 3.16, 3 U 3.19


Record 5
Dy3UBi4 after structural relaxation, computed with PBE.

Summary:
Total magnetic moment ... 2.7 μB/f.u.
DFT total energy ... -5.67 eV per atom
N(E_F) ... 6.8 states/eV per cell

a = 4.4601 Å, b = 7.7716 Å, c = 7.7716 Å
α = 109.03°, β = 90.00°, γ = 90.00°
With the nearest neighbours (Å) after each atom.
Fractional coordinates of all 8 atoms:
Dy 0.5000 0.5000 0.5000  6 Bi 3.16-3.17
Bi 0.5000 0.7504 0.2496  1 U 3.16, 5 Dy 3.17
Bi 0.0000 0.2526 0.2526  4 Dy 3.16, 2 U 3.19
Bi 0.0000 0.7474 0.7474  4 Dy 3.16, 2 U 3.19
Bi 0.5000 0.2496 0.7504  1 U 3.16, 5 Dy 3.17
Dy 0.0000 0.0000 0.5000  6 Bi 3.16-3.17
U 0.5000 0.0000 0.0000  6 Bi 3.16-3.19
Dy 0.0000 0.5000 0.0000  6 Bi 3.16-3.17


Record 6
DyUBi2 after structural relaxation, computed with PBE.

Summary:
Total magnetic moment ... 3.1 μB/f.u.
DFT total energy ... -6.12 eV per atom
N(E_F) ... 6.0 states/eV per cell

a = 3.8828 Å, b = 5.4277 Å, c = 5.4277 Å
α = 90.00°, β = 90.00°, γ = 90.00°
With the nearest neighbours (Å) after each atom.
Fractional coordinates of all 4 atoms:
Bi 0.0000 0.0000 0.5000  4 Dy 3.34, 4 U 3.34
Dy 0.5000 0.0000 0.0000  8 Bi 3.34
Bi 0.0000 0.5000 0.0000  4 Dy 3.34, 4 U 3.34
U 0.5000 0.5000 0.5000  8 Bi 3.34


Record 7
DyYBi after structural relaxation, computed with PBE.

Summary:
Total magnetic moment ... 0.0 μB/f.u.
DFT total energy ... -5.47 eV per atom
N(E_F) ... 12.4 states/eV per cell

a = 7.9286 Å, b = 7.9378 Å, c = 7.9286 Å
α = 65.81°, β = 79.66°, γ = 114.19°
With the nearest neighbours (Å) after each atom.
Fractional coordinates of all 12 atoms:
Dy 0.1399 0.7018 0.0137  4 Bi 3.08-3.35, 1 Y 3.42
Bi 0.4372 0.6498 0.7132  4 Dy 3.08-3.35, 4 Y 3.08-3.35
Y 0.7896 0.6545 0.4115  4 Bi 3.08-3.35, 1 Dy 3.42
Bi 0.0374 0.8502 0.6130  4 Dy 3.08-3.35, 4 Y 3.08-3.35
Y 0.8385 0.1545 0.4604  4 Bi 3.08-3.35, 1 Dy 3.42
Y 0.9340 0.3455 0.8648  4 Bi 3.08-3.35, 1 Dy 3.42
Bi 0.5368 0.1498 0.8128  4 Dy 3.08-3.35, 4 Y 3.08-3.35
Dy 0.2845 0.2982 0.5619  4 Bi 3.08-3.35, 1 Y 3.42
Bi 0.6370 0.3502 0.2126  4 Dy 3.08-3.35, 4 Y 3.08-3.35
Y 0.3852 0.8455 0.3160  4 Bi 3.08-3.35, 1 Dy 3.42
Dy 0.2363 0.2018 0.1101  4 Bi 3.08-3.35, 1 Y 3.42
Dy 0.6881 0.7982 0.9655  4 Bi 3.08-3.35, 1 Y 3.42


Record 8
Dy2Y5Bi4 after structural relaxation, computed with PBE.

Summary:
Total magnetic moment ... 0.0 μB/f.u.
DFT total energy ... -5.42 eV per atom
N(E_F) ... 10.2 states/eV per cell

a = 3.5185 Å, b = 8.1424 Å, c = 14.9874 Å
α = 121.80°, β = 96.74°, γ = 90.00°
With the nearest neighbours (Å) after each atom.
Fractional coordinates of all 11 atoms:
Bi 0.5991 0.4608 0.1982  5 Y 3.24-3.32, 1 Dy 3.43, 2 Bi 3.52
Dy 0.2672 0.3559 0.5343  6 Y 3.38-3.57, 1 Bi 3.43, 4 Dy 3.49-3.52
Bi 0.0499 0.7922 0.0998  4 Y 3.10-3.36
Y 0.8611 0.7723 0.7223  3 Bi 3.10-3.24, 1 Dy 3.38
Bi 0.4009 0.5392 0.8018  5 Y 3.24-3.32, 1 Dy 3.43, 2 Bi 3.52
Y 0.8290 0.1451 0.6579  3 Bi 3.27-3.36, 3 Y 3.52-3.64, 3 Dy 3.53-3.57
Y 0.1389 0.2277 0.2777  3 Bi 3.10-3.24, 1 Dy 3.38
Bi 0.9501 0.2078 0.9002  4 Y 3.10-3.36
Dy 0.7328 0.6441 0.4657  6 Y 3.38-3.57, 1 Bi 3.43, 4 Dy 3.49-3.52
Y 0.1710 0.8549 0.3421  3 Bi 3.27-3.36, 3 Y 3.52-3.64, 3 Dy 3.53-3.57
Y 0.5000 0.0000 0.0000  6 Bi 3.29-3.32, 2 Y 3.52


Record 9
DyY3Bi2 after structural relaxation, computed with PBE.

Summary:
Total magnetic moment ... 0.0 μB/f.u.
DFT total energy ... -5.92 eV per atom
N(E_F) ... 4.9 states/eV per cell

a = 4.5622 Å, b = 4.5622 Å, c = 8.6254 Å
α = 90.00°, β = 90.00°, γ = 90.00°
With the nearest neighbours (Å) after each atom.
Fractional coordinates of all 6 atoms:
Y 0.0000 0.5000 0.6530  5 Bi 3.19-3.27
Dy 0.5000 0.5000 0.0000  4 Y 3.23, 4 Bi 3.34
Y 0.0000 0.0000 0.0000  4 Dy 3.23, 4 Bi 3.34
Bi 0.0000 0.5000 0.2829  7 Y 3.19-3.34, 2 Dy 3.34
Bi 0.5000 0.0000 0.7171  7 Y 3.19-3.34, 2 Dy 3.34
Y 0.5000 0.0000 0.3470  5 Bi 3.19-3.27


Record 10
Dy3YBi after structural relaxation, computed with PBE.

Summary:
Total magnetic moment ... 0.0 μB/f.u.
DFT total energy ... -5.06 eV per atom
N(E_F) ... 22.3 states/eV per cell

a = 8.5609 Å, b = 9.0696 Å, c = 9.5279 Å
α = 121.91°, β = 90.00°, γ = 90.00°
With the nearest neighbours (Å) after each atom.
Fractional coordinates of all 20 atoms:
Bi 0.7496 0.0964 0.0478  4 Dy 3.11-3.44, 2 Y 3.16-3.44
Y 0.4354 0.2899 0.2196  2 Bi 3.16-3.44, 5 Dy 3.38-3.47
Dy 0.5882 0.9071 0.2034  2 Bi 3.11-3.12, 2 Dy 3.43-3.48, 1 Y 3.44
Dy 0.9341 0.7097 0.9257  2 Bi 3.17-3.44, 3 Y 3.38-3.45, 2 Dy 3.43-3.49
Bi 0.2504 0.9036 0.9522  4 Dy 3.11-3.44, 2 Y 3.16-3.44
Y 0.0646 0.2899 0.7196  2 Bi 3.16-3.44, 5 Dy 3.38-3.47
Bi 0.2496 0.9036 0.4522  4 Dy 3.11-3.44, 2 Y 3.16-3.44
Dy 0.0882 0.0929 0.2966  2 Bi 3.11-3.12, 2 Dy 3.43-3.48, 1 Y 3.44
Dy 0.9118 0.9071 0.7034  2 Bi 3.11-3.12, 2 Dy 3.43-3.48, 1 Y 3.44
Bi 0.7504 0.0964 0.5478  4 Dy 3.11-3.44, 2 Y 3.16-3.44
Dy 0.4118 0.0929 0.7966  2 Bi 3.11-3.12, 2 Dy 3.43-3.48, 1 Y 3.44
Y 0.5646 0.7101 0.7804  2 Bi 3.16-3.44, 5 Dy 3.38-3.47
Dy 0.4341 0.2903 0.5743  2 Bi 3.17-3.44, 3 Y 3.38-3.45, 2 Dy 3.43-3.49
Dy 0.0659 0.2903 0.0743  2 Bi 3.17-3.44, 3 Y 3.38-3.45, 2 Dy 3.43-3.49
Y 0.9354 0.7101 0.2804  2 Bi 3.16-3.44, 5 Dy 3.38-3.47
Dy 0.8102 0.4230 0.4616  5 Dy 3.46-3.83, 2 Y 3.47-3.76, 2 Bi 3.50
Dy 0.3102 0.5770 0.0384  5 Dy 3.46-3.83, 2 Y 3.47-3.76, 2 Bi 3.50
Dy 0.1898 0.5770 0.5384  5 Dy 3.46-3.83, 2 Y 3.47-3.76, 2 Bi 3.50
Dy 0.5659 0.7097 0.4257  2 Bi 3.17-3.44, 3 Y 3.38-3.45, 2 Dy 3.43-3.49
Dy 0.6898 0.4230 0.9616  5 Dy 3.46-3.83, 2 Y 3.47-3.76, 2 Bi 3.50


Record 11
Dy3Y5Bi8 after structural relaxation, computed with PBE.

Summary:
Total magnetic moment ... 0.0 μB/f.u.
DFT total energy ... -5.71 eV per atom
N(E_F) ... 3.0 states/eV per cell

a = 8.9621 Å, b = 8.9621 Å, c = 8.9620 Å
α = 60.00°, β = 60.00°, γ = 60.00°
With the nearest neighbours (Å) after each atom.
Fractional coordinates of all 16 atoms:
Bi 0.2500 0.2500 0.7495  2 Dy 3.17, 4 Y 3.17
Dy 0.0000 0.0000 0.5000  6 Bi 3.17
Y 0.0000 0.5000 0.0000  6 Bi 3.17
Y 0.5000 0.5000 0.0000  6 Bi 3.17
Bi 0.7502 0.7502 0.7493  3 Dy 3.17, 3 Y 3.17
Y 0.5000 0.0000 0.0000  6 Bi 3.17
Bi 0.7500 0.7500 0.2505  2 Dy 3.17, 4 Y 3.17
Bi 0.2495 0.7500 0.2505  2 Dy 3.17, 4 Y 3.17
Bi 0.7505 0.2500 0.7495  2 Dy 3.17, 4 Y 3.17
Y 0.0000 0.0000 0.0000  6 Bi 3.17
Y 0.5000 0.5000 0.5000  6 Bi 3.17
Bi 0.2498 0.2498 0.2507  3 Dy 3.17, 3 Y 3.17
Bi 0.7500 0.2495 0.2505  2 Dy 3.17, 4 Y 3.17
Dy 0.5000 0.0000 0.5000  6 Bi 3.17
Bi 0.2500 0.7505 0.7495  2 Dy 3.17, 4 Y 3.17
Dy 0.0000 0.5000 0.5000  6 Bi 3.17


Record 12
Dy5Y3Bi2 after structural relaxation, computed with PBE.

Summary:
Total magnetic moment ... 0.0 μB/f.u.
DFT total energy ... -5.06 eV per atom
N(E_F) ... 25.5 states/eV per cell

a = 6.4192 Å, b = 10.6453 Å, c = 10.6453 Å
α = 95.01°, β = 72.45°, γ = 72.45°
With the nearest neighbours (Å) after each atom.
Fractional coordinates of all 20 atoms:
Dy 0.7500 0.5000 0.5000  8 Dy 3.11-3.24
Y 0.8696 0.9272 0.3337  4 Bi 3.33-3.71, 2 Dy 3.45-3.72
Bi 0.6453 0.0033 0.7060  3 Dy 3.02-3.18, 2 Y 3.33
Bi 0.3547 0.9967 0.2940  3 Dy 3.02-3.18, 2 Y 3.33
Dy 0.0843 0.5811 0.2502  1 Bi 3.02, 2 Dy 3.24
Y 0.2500 0.0000 0.0000  2 Y 3.21, 2 Dy 3.32, 4 Bi 3.39
Dy 0.9157 0.4189 0.7498  1 Bi 3.02, 2 Dy 3.24
Bi 0.8547 0.2940 0.9967  3 Dy 3.02-3.18, 2 Y 3.33
Dy 0.0083 0.7417 0.7417  3 Dy 3.11-3.21, 2 Bi 3.18, 1 Y 3.32
Dy 0.2500 0.5000 0.5000  8 Dy 3.11-3.24
Y 0.1304 0.0728 0.6663  4 Bi 3.33-3.71, 2 Dy 3.45-3.72
Dy 0.5843 0.2502 0.5811  1 Bi 3.02, 2 Dy 3.24
Bi 0.1453 0.7060 0.0033  3 Dy 3.02-3.18, 2 Y 3.33
Dy 0.4917 0.2583 0.2583  3 Dy 3.11-3.21, 2 Bi 3.18, 1 Y 3.32
Y 0.6304 0.6663 0.0728  4 Bi 3.33-3.71, 2 Dy 3.45-3.72
Dy 0.4157 0.7498 0.4189  1 Bi 3.02, 2 Dy 3.24
Dy 0.5083 0.7417 0.7417  3 Dy 3.11-3.21, 2 Bi 3.18, 1 Y 3.32
Y 0.7500 0.0000 0.0000  2 Y 3.21, 2 Dy 3.32, 4 Bi 3.39
Y 0.3696 0.3337 0.9272  4 Bi 3.33-3.71, 2 Dy 3.45-3.72
Dy 0.9917 0.2583 0.2583  3 Dy 3.11-3.21, 2 Bi 3.18, 1 Y 3.32